Record 1
Here is a crystal of AlPb2W relaxed with PBEsol from Alexandria. Energies are from SCAN.

Summary:
Energy relative to the elements (meV per atom): 1007
Calculated volume (Å³ per cell): 83.87
SG: I-4m2

abc: 4.276 4.276 5.493
angles: 112.91 112.91 90.00
Element x y z (fractional)
1 Pb 0.000 0.000 0.000
2 W 0.500 0.500 0.000
3 Pb 0.750 0.250 0.500
4 Al 0.250 0.750 0.500



Record 2
Here is a crystal of Y2AlPbW relaxed with PBEsol from Alexandria. Energies are from SCAN.

Summary:
Energy relative to the elements (meV per atom): 1331
Calculated volume (Å³ per cell): 153.54
SG: P4/mmm

abc: 4.869 5.615 5.615
angles: 90.00 90.00 90.00
Element x y z (fractional)
1 Y 0.000 0.000 0.500
2 Pb 0.000 0.000 0.000
3 Y 0.000 0.500 0.000
4 Al 0.500 0.000 0.000
5 W 0.500 0.500 0.500



Record 3
Here is a crystal of YAlPb relaxed with PBEsol from Alexandria. Energies are from SCAN.

Summary:
Energy relative to the elements (meV per atom): -60
Calculated volume (Å³ per cell): 86.70
SG: F-43m

abc: 4.968 4.968 4.968
angles: 60.00 60.00 60.00
Element x y z (fractional)
1 Y 0.250 0.250 0.250
2 Pb 0.500 0.500 0.500
3 Al 0.000 0.000 0.000



Record 4
Here is a crystal of Y2AlPb relaxed with PBEsol from Alexandria. Energies are from SCAN.

Summary:
Energy relative to the elements (meV per atom): -688
Calculated volume (Å³ per cell): 104.18
SG: Amm2

abc: 4.185 4.452 6.019
angles: 111.71 90.00 90.00
Element x y z (fractional)
1 Pb 0.500 0.457 0.789
2 Al 0.000 0.288 0.452
3 Y 0.500 0.738 0.351
4 Y 0.000 0.016 0.908



Record 5
Here is a crystal of Y4AlPb relaxed with PBEsol from Alexandria. Energies are from SCAN.

Summary:
Energy relative to the elements (meV per atom): 236
Calculated volume (Å³ per cell): 165.87
SG: F-43m

abc: 6.167 6.167 6.167
angles: 60.00 60.00 60.00
Element x y z (fractional)
1 Y 0.375 0.375 0.375
2 Al 0.750 0.750 0.750
3 Y 0.874 0.375 0.375
4 Pb 0.000 0.000 0.000
5 Y 0.375 0.375 0.874
6 Y 0.375 0.874 0.375



Record 6
Here is a crystal of YAl2Pb relaxed with PBEsol from Alexandria. Energies are from SCAN.

Summary:
Energy relative to the elements (meV per atom): -58
Calculated volume (Å³ per cell): 194.79
SG: I-42d

abc: 6.020 6.436 6.436
angles: 77.37 62.12 62.12
Element x y z (fractional)
1 Al 0.875 0.026 0.474
2 Pb 0.750 0.500 0.500
3 Al 0.099 0.526 0.026
4 Al 0.651 0.474 0.974
5 Y 0.250 0.500 0.500
6 Y 0.500 0.000 0.000
7 Pb 0.000 0.000 0.000
8 Al 0.375 0.974 0.526



Record 7
Here is a crystal of Y2AlPb relaxed with PBEsol from Alexandria. Energies are from SCAN.

Summary:
Energy relative to the elements (meV per atom): -403
Calculated volume (Å³ per cell): 107.07
SG: C2/m

abc: 3.593 5.045 6.452
angles: 100.78 90.00 110.86
Element x y z (fractional)
1 Pb 0.500 0.000 0.000
2 Al 0.000 0.000 0.500
3 Y 0.746 0.491 0.735
4 Y 0.254 0.509 0.265



Record 8
Here is a crystal of YAl2Pb relaxed with PBEsol from Alexandria. Energies are from SCAN.

Summary:
Energy relative to the elements (meV per atom): -308
Calculated volume (Å³ per cell): 87.90
SG: I4/mmm

abc: 4.248 4.248 5.723
angles: 111.79 111.79 90.00
Element x y z (fractional)
1 Al 0.250 0.750 0.500
2 Pb 0.000 0.000 0.000
3 Al 0.750 0.250 0.500
4 Y 0.500 0.500 0.000



Record 9
Here is a crystal of YAlPb2 relaxed with PBEsol from Alexandria. Energies are from SCAN.

Summary:
Energy relative to the elements (meV per atom): -370
Calculated volume (Å³ per cell): 98.96
SG: P4/mmm

abc: 4.547 4.665 4.665
angles: 90.00 90.00 90.00
Element x y z (fractional)
1 Pb 0.000 0.500 0.000
2 Y 0.500 0.500 0.500
3 Al 0.500 0.000 0.000
4 Pb 0.000 0.000 0.500



Record 10
Here is a crystal of Al2Zn2Pb relaxed with PBEsol from Alexandria. Energies are from SCAN.

Summary:
Energy relative to the elements (meV per atom): 94
Calculated volume (Å³ per cell): 94.88
SG: I4/mmm

abc: 4.038 4.038 6.482
angles: 108.15 108.15 90.00
Element x y z (fractional)
1 Al 0.750 0.250 0.500
2 Zn 0.606 0.606 0.212
3 Pb 0.000 0.000 0.000
4 Al 0.250 0.750 0.500
5 Zn 0.394 0.394 0.788



Record 11
Here is a crystal of ZrAl4Pb relaxed with PBEsol from Alexandria. Energies are from SCAN.

Summary:
Energy relative to the elements (meV per atom): -145
Calculated volume (Å³ per cell): 111.62
SG: F-43m

abc: 5.405 5.405 5.405
angles: 60.00 60.00 60.00
Element x y z (fractional)
1 Pb 0.750 0.750 0.750
2 Zr 0.000 0.000 0.000
3 Al 0.374 0.878 0.374
4 Al 0.374 0.374 0.878
5 Al 0.374 0.374 0.374
6 Al 0.878 0.374 0.374



Record 12
Here is a crystal of ZrAlPb2 relaxed with PBEsol from Alexandria. Energies are from SCAN.

Summary:
Energy relative to the elements (meV per atom): 159
Calculated volume (Å³ per cell): 97.25
SG: R-3m

abc: 3.243 3.243 10.842
angles: 81.40 81.40 60.00
Element x y z (fractional)
1 Pb 0.752 0.752 0.744
2 Zr 0.500 0.500 0.500
3 Pb 0.248 0.248 0.256
4 Al 0.000 0.000 0.000